Entry 1:
An optimized crystal structure of NaErPb2S4. Source: the Alexandria database, functional PBE.

Results
As for the uncorrected formation energy: -873 kJ/mol of formula units. The calculation puts the electronic total energy at -4.857 eV per atom.

Cell lengths 4.087, 7.070, 7.156 Å; angles 108.38, 90.00, 90.00 degrees
Sites, in units of the cell vectors:
1 S 0.500 0.232 0.224
2 S 0.500 0.768 0.776
3 S 0.000 0.241 0.768
4 S 0.000 0.759 0.232
5 Pb 0.500 0.000 0.500
6 Pb 0.000 0.500 0.500
7 Er 0.000 0.000 0.000
8 Na 0.500 0.500 0.000

---

Entry 2:
An optimized crystal structure of Ce3Pu2NpP6. Source: the Alexandria database, functional PBE.

Results
The calculation puts the electronic total energy at -8.939 eV per atom. Its formation energy from the elements is -15.40 eV/f.u.

Cell lengths 7.010, 7.010, 6.972 Å; angles 99.65, 99.65, 120.01 degrees
Sites, in units of the cell vectors:
1 Ce 0.167 0.833 0.500
2 Ce 0.833 0.167 0.500
3 Ce 0.500 0.500 0.500
4 P 0.589 0.920 0.759
5 P 0.411 0.080 0.241
6 P 0.750 0.750 0.241
7 P 0.250 0.250 0.759
8 P 0.080 0.411 0.241
9 P 0.920 0.589 0.759
10 Pu 0.333 0.667 0.000
11 Pu 0.667 0.333 0.000
12 Np 0.000 0.000 0.000